# HgTeRh2Au (PBE, relaxed)
data_HgTeRh2Au
_cell_length_a 5.027
_cell_length_b 5.027
_cell_length_c 5.034
_cell_angle_alpha 90.00
_cell_angle_beta 90.00
_cell_angle_gamma 90.00
_symmetry_space_group_name_H-M 'P 1'
_symmetry_Int_Tables_number 1
loop_
_symmetry_equiv_pos_as_xyz
'x,y,z'
loop_
_atom_site_label
_atom_site_type_symbol
_atom_site_fract_x
_atom_site_fract_y
_atom_site_fract_z
Hg1 Hg 0.000 0.000 0.000
Te1 Te 0.500 0.500 0.500
Rh1 Rh 0.000 0.500 0.000
Rh2 Rh 0.500 0.000 0.000
Au1 Au 0.000 0.000 0.500
# Space-group type: P4/mmm (123)
# Formation energy (no corrections) (eV/atom): 1.220